Entry 1:
DFT (PBE-GGA) results for an optimized crystal structure of Cs2Tl4Pd2Pt.

## Properties
VASP energy ... -0.235 Ry per atom
Formation enthalpy at 0 K ... -0.132 eV per atom

abc: 9.523 9.523 7.854
angles: 113.20 113.20 28.48
Fractional coordinates of all 9 atoms:
Cs 0.133 0.133 0.208
Cs 0.867 0.867 0.792
Tl 0.163 0.163 0.725
Tl 0.467 0.467 0.265
Tl 0.533 0.533 0.735
Tl 0.837 0.837 0.275
Pd 0.297 0.297 0.065
Pd 0.703 0.703 0.935
Pt 0.000 0.000 0.500


Entry 2:
DFT (PBE-GGA) results for an optimized crystal structure of BeV2In.

## Properties
VASP energy ... -0.426 Ry per atom
Formation enthalpy at 0 K ... 0.381 eV per atom
Energy relative to the lowest polymorph listed for this composition ... 0.00 eV per formula unit

abc: 4.951 4.951 4.951
angles: 48.06 48.06 48.06
Fractional coordinates of all 4 atoms:
Be 0.000 0.000 0.000
V 0.286 0.286 0.286
V 0.714 0.714 0.714
In 0.500 0.500 0.500


Entry 3:
DFT (PBE-GGA) results for an optimized crystal structure of RbTl2CrI6.

## Properties
VASP energy ... -0.231 Ry per atom
Raw formation energy ... -0.676 eV/atom

abc: 8.768 8.768 8.768
angles: 58.11 58.11 58.11
Fractional coordinates of all 10 atoms:
Rb 0.000 0.000 0.000
Tl 0.289 0.289 0.289
Tl 0.806 0.806 0.806
Cr 0.490 0.490 0.490
I 0.158 0.681 0.405
I 0.283 0.588 0.817
I 0.405 0.158 0.681
I 0.588 0.817 0.283
I 0.681 0.405 0.158
I 0.817 0.283 0.588


Entry 4:
DFT (PBE-GGA) results for an optimized crystal structure of Mg2ScTa.

## Properties
VASP energy ... -0.376 Ry per atom
Formation enthalpy at 0 K ... 0.231 eV per atom
Energy relative to the lowest polymorph listed for this composition ... 0.64 eV per formula unit

abc: 10.761 10.761 10.761
angles: 16.15 16.15 16.15
Fractional coordinates of all 4 atoms:
Mg 0.247 0.247 0.247
Mg 0.753 0.753 0.753
Sc 0.000 0.000 0.000
Ta 0.500 0.500 0.500


Entry 5:
DFT (PBE-GGA) results for an optimized crystal structure of LaY3Tm4.

## Properties
VASP energy ... -0.387 Ry per atom
Formation enthalpy at 0 K ... 0.012 eV per atom
Energy relative to the lowest polymorph listed for this composition ... 0.00 eV per formula unit

abc: 11.286 7.274 6.256
angles: 90.00 90.00 90.00
Fractional coordinates of all 16 atoms:
La 0.000 0.129 0.000
La 0.500 0.871 0.500
Y 0.000 0.871 0.503
Y 0.249 0.129 0.341
Y 0.251 0.871 0.841
Y 0.500 0.129 0.003
Y 0.749 0.871 0.841
Y 0.751 0.129 0.341
Tm 0.000 0.381 0.507
Tm 0.000 0.621 0.007
Tm 0.248 0.622 0.339
Tm 0.252 0.378 0.839
Tm 0.500 0.379 0.507
Tm 0.500 0.619 0.007
Tm 0.748 0.378 0.839
Tm 0.752 0.622 0.339


Entry 6:
DFT (PBE-GGA) results for an optimized crystal structure of Ba2TlBi.

## Properties
VASP energy ... -0.214 Ry per atom
Formation enthalpy at 0 K ... -0.383 eV per atom
Energy relative to the lowest polymorph listed for this composition ... 1.02 eV per formula unit

abc: 7.832 7.832 7.832
angles: 105.11 105.11 118.60
Fractional coordinates of all 8 atoms:
Ba 0.114 0.625 0.989
Ba 0.375 0.364 0.489
Ba 0.636 0.125 0.011
Ba 0.875 0.886 0.511
Tl 0.250 0.750 0.500
Tl 0.500 0.500 0.000
Bi 0.000 0.000 0.000
Bi 0.750 0.250 0.500


Entry 7:
DFT (PBE-GGA) results for an optimized crystal structure of Be2GeRu.

## Properties
VASP energy ... -0.361 Ry per atom
Formation enthalpy at 0 K ... 0.427 eV per atom

abc: 5.163 5.163 5.163
angles: 103.27 103.27 122.74
Fractional coordinates of all 8 atoms:
Be 0.121 0.625 0.996
Be 0.375 0.371 0.496
Be 0.629 0.125 0.004
Be 0.875 0.879 0.504
Ge 0.250 0.750 0.500
Ge 0.500 0.500 0.000
Ru 0.000 0.000 0.000
Ru 0.750 0.250 0.500


Entry 8:
DFT (PBE-GGA) results for an optimized crystal structure of HoCu3O4.

## Properties
VASP energy ... -0.443 Ry per atom
Raw formation energy ... -1.442 eV/atom

abc: 5.628 5.628 5.628
angles: 90.00 90.00 90.00
Fractional coordinates of all 16 atoms:
Ho 0.000 0.000 0.000
Ho 0.500 0.500 0.500
Cu 0.000 0.250 0.500
Cu 0.000 0.750 0.500
Cu 0.250 0.500 0.000
Cu 0.500 0.000 0.250
Cu 0.500 0.000 0.750
Cu 0.750 0.500 0.000
O 0.250 0.250 0.250
O 0.250 0.250 0.750
O 0.250 0.750 0.250
O 0.250 0.750 0.750
O 0.750 0.250 0.250
O 0.750 0.250 0.750
O 0.750 0.750 0.250
O 0.750 0.750 0.750


Entry 9:
DFT (PBE-GGA) results for an optimized crystal structure of AcDyY6.

## Properties
VASP energy ... -0.425 Ry per atom
Formation enthalpy at 0 K ... 0.150 eV per atom
Energy relative to the lowest polymorph listed for this composition ... 0.00 eV per formula unit

abc: 6.558 6.558 6.558
angles: 96.48 96.48 96.48
Fractional coordinates of all 8 atoms:
Ac 0.000 0.000 0.000
Dy 0.500 0.500 0.500
Y 0.042 0.457 0.745
Y 0.255 0.958 0.543
Y 0.457 0.745 0.042
Y 0.543 0.255 0.958
Y 0.745 0.042 0.457
Y 0.958 0.543 0.255


Entry 10:
DFT (PBE-GGA) results for an optimized crystal structure of Ho3ErZr2N6.

## Properties
VASP energy ... -0.652 Ry per atom
Raw formation energy ... -1.762 eV/atom

abc: 7.540 7.540 6.759
angles: 103.14 103.14 25.80
Fractional coordinates of all 12 atoms:
Ho 0.000 0.000 0.000
Ho 0.333 0.333 0.667
Ho 0.667 0.667 0.333
Er 0.000 0.000 0.500
Zr 0.333 0.333 0.166
Zr 0.667 0.667 0.834
N 0.167 0.167 0.596
N 0.170 0.170 0.075
N 0.494 0.494 0.248
N 0.506 0.506 0.752
N 0.830 0.830 0.925
N 0.833 0.833 0.404


Entry 11:
DFT (PBE-GGA) results for an optimized crystal structure of LaVSe2N.

## Properties
VASP energy ... -0.505 Ry per atom
Energy relative to the lowest polymorph listed for this composition ... 0.00 eV per formula unit
Raw formation energy ... -1.006 eV/atom

abc: 5.056 5.056 3.761
angles: 90.00 90.00 90.00
Fractional coordinates of all 5 atoms:
La 0.000 0.000 0.000
V 0.500 0.500 0.500
Se 0.000 0.500 0.500
Se 0.500 0.000 0.500
N 0.500 0.500 0.000


What did the fourth record say?
DFT (PBE-GGA) results for an optimized crystal structure of Mg2ScTa.

## Properties
VASP energy ... -0.376 Ry per atom
Formation enthalpy at 0 K ... 0.231 eV per atom
Energy relative to the lowest polymorph listed for this composition ... 0.64 eV per formula unit

abc: 10.761 10.761 10.761
angles: 16.15 16.15 16.15
Fractional coordinates of all 4 atoms:
Mg 0.247 0.247 0.247
Mg 0.753 0.753 0.753
Sc 0.000 0.000 0.000
Ta 0.500 0.500 0.500